--- w ---
Here is crystalline HgAu2Cl2 at its relaxed geometry from Alexandria via LeMat-Bulk. Energies are from PBE.

Properties
Density   7.7 Mg/m³

abc: 3.9843 3.9843 9.4830
angles: 77.87 77.87 90.00
Fractional positions:
Au1 0.7500 0.2500 0.5000
Au2 0.2500 0.7500 0.5000
Cl1 0.3569 0.3569 0.2862
Cl2 0.6431 0.6431 0.7138
Hg1 0.0000 0.0000 0.0000

--- x ---
Here is crystalline HgAu2Cl2 at its relaxed geometry from Alexandria via LeMat-Bulk. Energies are from PBE.

Properties
Density   10.0 Mg/m³

abc: 8.4965 8.4965 3.0537
angles: 90.00 90.00 90.00
Fractional positions:
Cl1 0.6436 0.1436 0.0000
Cl2 0.1436 0.3564 0.0000
Cl3 0.3564 0.8564 0.0000
Cl4 0.8564 0.6436 0.0000
Hg1 0.0000 0.0000 0.0000
Hg2 0.5000 0.5000 0.0000
Au1 0.3363 0.1637 0.5000
Au2 0.6637 0.8363 0.5000
Au3 0.8363 0.3363 0.5000
Au4 0.1637 0.6637 0.5000

Stability comparison, relative energies in meV per atom: w 0; x 141

--- w ---
Here is crystalline HgAuCl at its relaxed geometry from Alexandria via LeMat-Bulk. Energies are from PBE.

Properties
Density   8.4 Mg/m³

abc: 4.0846 4.0840 11.8379
angles: 90.00 90.00 120.00
Fractional positions:
Au1 0.7775 0.5550 0.6275
Au2 0.7775 0.5550 0.3725
Hg1 0.4455 0.8911 0.0000
Hg2 0.4441 0.8882 0.5000
Cl1 0.1110 0.2219 0.7360
Cl2 0.1110 0.2219 0.2640

--- x ---
Here is crystalline HgAuCl at its relaxed geometry from Alexandria via LeMat-Bulk. Energies are from PBE.

Properties
Density   10.1 Mg/m³

abc: 3.8412 3.8412 5.5941
angles: 90.00 90.00 120.00
Fractional positions:
Au1 0.0000 0.0000 0.9948
Cl1 0.6667 0.3333 0.3128
Hg1 0.3333 0.6667 0.6924

Stability comparison, relative energies in meV per atom: w 0; x 40

--- w ---
Here is crystalline Hg3AuCl at its relaxed geometry from Alexandria via LeMat-Bulk. Energies are from PBE.

Properties
Density   7.9 Mg/m³

abc: 5.5910 5.5910 5.5910
angles: 90.00 90.00 90.00
Fractional positions:
Hg1 0.0000 0.0000 0.5000
Hg2 0.0000 0.5000 0.0000
Hg3 0.5000 0.0000 0.0000
Cl1 0.0000 0.0000 0.0000
Au1 0.5000 0.5000 0.5000

--- x ---
Here is crystalline Hg3AuCl at its relaxed geometry from Alexandria via LeMat-Bulk. Energies are from PBE.

Properties
Density   10.4 Mg/m³

abc: 6.0954 8.4005 10.7451
angles: 104.79 90.00 90.00
Fractional positions:
Hg1 0.0985 0.9688 0.2932
Hg2 0.9015 0.0312 0.7068
Hg3 0.4137 0.2903 0.5996
Hg4 0.4263 0.6601 0.0084
Hg5 0.0737 0.6601 0.5084
Hg6 0.9263 0.3399 0.4916
Hg7 0.5863 0.7097 0.4004
Hg8 0.0863 0.2903 0.0996
Hg9 0.5985 0.0312 0.2068
Hg10 0.5737 0.3399 0.9916
Hg11 0.4015 0.9688 0.7932
Hg12 0.9137 0.7097 0.9004
Cl1 0.4670 0.4049 0.3159
Cl2 0.9670 0.5951 0.1841
Cl3 0.0330 0.4049 0.8159
Cl4 0.5330 0.5951 0.6841
Au1 0.2190 0.9652 0.0388
Au2 0.2810 0.9652 0.5388
Au3 0.7810 0.0348 0.9612
Au4 0.7190 0.0348 0.4612

--- y ---
Here is crystalline Hg3AuCl at its relaxed geometry from Alexandria via LeMat-Bulk. Energies are from PBE.

Properties
Density   8.8 Mg/m³

abc: 5.3897 5.3897 5.3897
angles: 90.00 90.00 90.00
Fractional positions:
Au1 0.0000 0.0000 0.0000
Cl1 0.5000 0.5000 0.5000
Hg1 0.0000 0.0000 0.5000
Hg2 0.5000 0.0000 0.0000
Hg3 0.0000 0.5000 0.0000

--- z ---
Here is crystalline Hg3AuCl at its relaxed geometry from Alexandria via LeMat-Bulk. Energies are from PBE.

Properties
Density   9.8 Mg/m³

abc: 7.2625 7.2625 11.7664
angles: 76.60 76.60 72.03
Fractional positions:
Cl1 0.5758 0.0758 0.6709
Cl2 0.0758 0.5758 0.1709
Cl3 0.9242 0.4242 0.8291
Cl4 0.4242 0.9242 0.3291
Hg1 0.3698 0.3680 0.8679
Hg2 0.8699 0.8678 0.3680
Hg3 0.7294 0.2293 0.0212
Hg4 0.1322 0.1301 0.1320
Hg5 0.8678 0.8699 0.8680
Hg6 0.3680 0.3698 0.3679
Hg7 0.7707 0.2706 0.4788
Hg8 0.6320 0.6302 0.6321
Hg9 0.6302 0.6320 0.1321
Hg10 0.2706 0.7707 0.9788
Hg11 0.1301 0.1322 0.6320
Hg12 0.2293 0.7294 0.5212
Au1 0.5000 0.0000 0.0000
Au2 0.2498 0.7502 0.7500
Au3 0.0000 0.5000 0.5000
Au4 0.7502 0.2498 0.2500

Stability comparison, relative energies in meV per atom: w 687; x 7; y 60; z 0

--- w ---
Here is crystalline HgAuCl4 at its relaxed geometry from Alexandria via LeMat-Bulk. Energies are from PBE.

Properties
Density   4.6 Mg/m³

abc: 6.3187 6.3185 6.3180
angles: 108.56 108.55 111.32
Fractional positions:
Au1 0.5000 0.5000 0.0000
Cl1 0.6819 0.2292 0.8740
Cl2 0.1921 0.3182 0.5476
Cl3 0.3552 0.8079 0.1260
Cl4 0.7706 0.6445 0.4524
Hg1 0.7501 0.2501 0.5000

--- x ---
Here is crystalline HgAuCl4 at its relaxed geometry from Alexandria via LeMat-Bulk. Energies are from PBE.

Properties
Density   3.8 Mg/m³

abc: 7.2621 6.8432 10.7266
angles: 102.00 103.52 109.16
Fractional positions:
Cl1 0.5765 0.7520 0.9953
Cl2 0.2802 0.1400 0.6137
Cl3 0.1665 0.5263 0.3863
Cl4 0.9188 0.2433 0.9953
Cl5 0.7198 0.8600 0.3863
Cl6 0.4235 0.2480 0.0047
Cl7 0.8335 0.4737 0.6137
Cl8 0.0812 0.7567 0.0047
Au1 0.7492 0.4992 0.9985
Au2 0.2507 0.5008 0.0015
Hg1 0.0503 0.8003 0.6007
Hg2 0.9497 0.1997 0.3993

--- y ---
Here is crystalline HgAuCl4 at its relaxed geometry from Alexandria via LeMat-Bulk. Energies are from PBE.

Properties
Density   6.0 Mg/m³

abc: 5.9425 5.9425 5.9425
angles: 60.00 60.00 60.00
Fractional positions:
Hg1 0.7500 0.7500 0.7500
Au1 0.0000 0.0000 0.0000
Cl1 0.3749 0.3749 0.3749
Cl2 0.3749 0.3749 0.8753
Cl3 0.8753 0.3749 0.3749
Cl4 0.3749 0.8753 0.3749

Stability comparison, relative energies in meV per atom: w 29; x 0; y 1069

--- w ---
Here is crystalline HgAuCl6 at its relaxed geometry from Alexandria via LeMat-Bulk. Energies are from PBE.

Properties
Density   4.1 Mg/m³

abc: 6.4473 9.4225 6.0263
angles: 59.01 59.70 55.16
Fractional positions:
Cl1 0.9178 0.4961 0.2967
Cl2 0.6368 0.2616 0.0963
Cl3 0.7846 0.0052 0.7846
Cl4 0.0822 0.5039 0.7033
Cl5 0.2154 0.9948 0.2154
Cl6 0.3632 0.7384 0.9037
Hg1 0.5000 0.5000 0.5000
Au1 0.0000 0.0000 0.0000

--- x ---
Here is crystalline HgAuCl6 at its relaxed geometry from Alexandria via LeMat-Bulk. Energies are from PBE.

Properties
Density   3.7 Mg/m³

abc: 6.5508 6.5381 7.9008
angles: 79.30 68.26 59.94
Fractional positions:
Hg1 0.0000 0.0000 0.5000
Cl1 0.8852 0.2927 0.1945
Cl2 0.5883 0.0000 0.6251
Cl3 0.8221 0.2927 0.8055
Cl4 0.4117 0.0000 0.3749
Cl5 0.1779 0.7073 0.1945
Cl6 0.1148 0.7073 0.8055
Au1 0.0000 0.0000 0.0000

Stability comparison, relative energies in meV per atom: w 10; x 0

--- w ---
Here is crystalline Hg2AuCl6 at its relaxed geometry from Alexandria via LeMat-Bulk. Energies are from PBE.

Properties
Density   4.9 Mg/m³

abc: 7.8656 8.3784 8.3784
angles: 82.71 90.62 90.62
Fractional positions:
Hg1 0.3021 0.2484 0.3816
Hg2 0.1979 0.6184 0.7516
Hg3 0.8021 0.3816 0.2484
Hg4 0.6979 0.7516 0.6184
Cl1 0.1317 0.1202 0.6303
Cl2 0.1083 0.4802 0.2855
Cl3 0.8585 0.1827 0.0473
Cl4 0.6083 0.2855 0.4802
Cl5 0.8683 0.8798 0.3697
Cl6 0.1415 0.8173 0.9527
Cl7 0.8917 0.5198 0.7145
Cl8 0.6317 0.6303 0.1202
Cl9 0.6415 0.9527 0.8173
Cl10 0.3917 0.7145 0.5198
Cl11 0.3585 0.0473 0.1827
Cl12 0.3683 0.3697 0.8798
Au1 0.7500 0.9035 0.0965
Au2 0.2500 0.0965 0.9035

--- x ---
Here is crystalline Hg2AuCl6 at its relaxed geometry from Alexandria via LeMat-Bulk. Energies are from PBE.

Properties
Density   4.6 Mg/m³

abc: 7.1788 7.7285 11.3687
angles: 90.00 90.00 111.51
Fractional positions:
Cl1 0.2576 0.0342 0.0200
Cl2 0.7576 0.5342 0.4800
Cl3 0.2697 0.9485 0.6781
Cl4 0.2715 0.5317 0.8705
Cl5 0.2303 0.5515 0.1781
Cl6 0.2285 0.9683 0.3705
Cl7 0.7285 0.4683 0.1295
Cl8 0.7697 0.4485 0.8219
Cl9 0.7303 0.0515 0.3219
Cl10 0.7715 0.0317 0.6295
Cl11 0.2424 0.4658 0.5200
Cl12 0.7424 0.9658 0.9800
Au1 0.0000 0.5000 0.0000
Au2 0.5000 0.0000 0.5000
Hg1 0.4910 0.9348 0.8366
Hg2 0.5090 0.0652 0.1634
Hg3 0.0090 0.5652 0.3366
Hg4 0.9910 0.4348 0.6634

Stability comparison, relative energies in meV per atom: w 31; x 0

--- w ---
Here is crystalline HgAu2Cl6 at its relaxed geometry from Alexandria via LeMat-Bulk. Energies are from PBE.

Properties
Density   4.8 Mg/m³

abc: 5.1945 10.7263 10.7263
angles: 90.39 75.48 75.48
Fractional positions:
Cl1 0.6813 0.9771 0.7881
Cl2 0.1572 0.1340 0.5970
Cl3 0.3264 0.7171 0.5688
Cl4 0.6736 0.2829 0.4312
Cl5 0.1736 0.4312 0.2829
Cl6 0.3187 0.0229 0.2119
Cl7 0.8264 0.5688 0.7171
Cl8 0.3428 0.4030 0.8660
Cl9 0.6572 0.5970 0.1340
Cl10 0.1813 0.7881 0.9771
Cl11 0.8428 0.8660 0.4030
Cl12 0.8187 0.2119 0.0229
Hg1 0.7500 0.8965 0.1035
Hg2 0.2500 0.1035 0.8965
Au1 0.8255 0.7251 0.5604
Au2 0.6746 0.4396 0.2749
Au3 0.3254 0.5604 0.7251
Au4 0.1746 0.2749 0.4396

--- x ---
Here is crystalline HgAu2Cl6 at its relaxed geometry from Alexandria via LeMat-Bulk. Energies are from PBE.

Properties
Density   4.8 Mg/m³

abc: 7.0860 10.9072 10.9072
angles: 65.91 55.12 55.12
Fractional positions:
Cl1 0.2063 0.6702 0.0321
Cl2 0.0840 0.6468 0.6323
Cl3 0.4160 0.3677 0.3532
Cl4 0.7063 0.0321 0.6702
Cl5 0.2937 0.9679 0.3298
Cl6 0.7937 0.3298 0.9679
Cl7 0.2125 0.0081 0.7108
Cl8 0.5840 0.6323 0.6468
Cl9 0.7875 0.9919 0.2892
Cl10 0.7125 0.7108 0.0081
Cl11 0.2875 0.2892 0.9919
Cl12 0.9160 0.3532 0.3677
Hg1 0.7500 0.8148 0.1852
Hg2 0.2500 0.1852 0.8148
Au1 0.6546 0.8250 0.6570
Au2 0.8454 0.3430 0.1750
Au3 0.1546 0.6570 0.8250
Au4 0.3454 0.1750 0.3430

Stability comparison, relative energies in meV per atom: w 0; x 21

--- w ---
Here is crystalline Hg2Au2Cl at its relaxed geometry from Alexandria via LeMat-Bulk. Energies are from PBE.

Properties
Density   12.0 Mg/m³

abc: 3.9767 3.9767 7.7970
angles: 75.23 75.23 90.00
Fractional positions:
Cl1 0.0000 0.0000 0.0000
Au1 0.7500 0.2500 0.5000
Au2 0.2500 0.7500 0.5000
Hg1 0.4015 0.4015 0.1969
Hg2 0.5985 0.5985 0.8031

--- x ---
Here is crystalline Hg2Au2Cl at its relaxed geometry from Alexandria via LeMat-Bulk. Energies are from PBE.

Properties
Density   12.2 Mg/m³

abc: 8.8650 8.8650 2.8763
angles: 90.00 90.00 90.00
Fractional positions:
Hg1 0.8091 0.6909 0.0000
Hg2 0.1909 0.3091 0.0000
Hg3 0.6909 0.1909 0.0000
Hg4 0.3091 0.8091 0.0000
Au1 0.3901 0.1099 0.5000
Au2 0.1099 0.6099 0.5000
Au3 0.6099 0.8901 0.5000
Au4 0.8901 0.3901 0.5000
Cl1 0.0000 0.0000 0.0000
Cl2 0.5000 0.5000 0.0000

Stability comparison, relative energies in meV per atom: w 0; x 76

--- w ---
Here is crystalline Ho2AuCl at its relaxed geometry from Alexandria via LeMat-Bulk. Energies are from PBE.

Properties
Density   8.9 Mg/m³

abc: 3.9677 3.9677 8.0607
angles: 75.75 75.75 60.00
Fractional positions:
Cl1 0.4954 0.4954 0.5139
Ho1 0.0742 0.0742 0.7774
Ho2 0.2622 0.2622 0.2135
Au1 0.6683 0.6683 0.9952

--- x ---
Here is crystalline Ho2AuCl at its relaxed geometry from Alexandria via LeMat-Bulk. Energies are from PBE.

Properties
Density   7.0 Mg/m³

abc: 4.3806 4.3806 8.4289
angles: 74.94 74.94 60.00
Fractional positions:
Au1 0.5000 0.5000 0.5000
Cl1 0.0000 0.0000 0.0000
Ho1 0.1096 0.1096 0.6711
Ho2 0.8904 0.8904 0.3289

Stability comparison, relative energies in meV per atom: w 31; x 0